Entry 1:
{"formula": "LaBiPd2Au", "functional": "PBE-GGA", "state": "optimized geometry", "total_magnetization_mub_per_atom": 0.000, "total_energy_ev_per_atom": -3.788, "dos_at_fermi_per_ev_cell": 3.47, "sg": "P4/mmm (123)", "cell": [[5.061, 0.000, 0.000], [0.000, 5.061, 0.000], [0.000, 0.000, 6.319]], "species": ["La", "Bi", "Pd", "Pd", "Au"], "fractional_positions": [[0.000, 0.000, 0.000], [0.000, 0.000, 0.500], [0.000, 0.500, 0.000], [0.500, 0.000, 0.000], [0.500, 0.500, 0.500]]}


Entry 2:
{"formula": "Ho3Zn2Cu7", "functional": "PBE-GGA", "state": "optimized geometry", "total_magnetization_mub_per_atom": 0.000, "total_energy_ev_per_atom": -3.994, "dos_at_fermi_per_ev_cell": 4.89, "sg": "R-3m (166)", "cell": [[2.608, 1.506, 8.276], [-2.608, 1.506, 8.276], [0.000, -3.011, 8.276]], "species": ["Ho", "Ho", "Ho", "Zn", "Zn", "Cu", "Cu", "Cu", "Cu", "Cu", "Cu", "Cu"], "fractional_positions": [[0.000, 0.000, 0.000], [0.142, 0.142, 0.142], [0.858, 0.858, 0.858], [0.333, 0.333, 0.333], [0.667, 0.667, 0.667], [0.083, 0.583, 0.583], [0.417, 0.417, 0.917], [0.417, 0.917, 0.417], [0.500, 0.500, 0.500], [0.583, 0.083, 0.583], [0.583, 0.583, 0.083], [0.917, 0.417, 0.417]]}